DFT (GGA-PBE) results for a geometry-optimized LiMgTa structure.

## Properties
The calculation puts the total moment at 0.00 μB/f.u. The uncorrected energy is -11.845 eV/f.u. The value obtained for the mass density is 6.2 g/cm3. Its excess energy over the best structure of this formula in the dataset is 1.091 eV per atom.

a = 4.320 Å, b = 4.320 Å, c = 4.320 Å
α = 60.00°, β = 60.00°, γ = 60.00°
Atoms (fractional coordinates):
Li 0.750 0.750 0.750
Ta 0.500 0.500 0.500
Mg 0.000 0.000 0.000

***

DFT (GGA-PBE) results for a geometry-optimized LaPrSnCl structure.

## Properties
For the uncorrected formation energy, the calculation gives -1.0604 eV/atom. The calculation puts the total moment at 0.00 μB/f.u. The uncorrected energy is -19.798 eV/f.u. The value obtained for the mass density is 6.3 g/cm3.

a = 5.442 Å, b = 5.442 Å, c = 5.442 Å
α = 60.00°, β = 60.00°, γ = 60.00°
Atoms (fractional coordinates):
La 0.000 0.000 0.000
Sn 0.250 0.250 0.250
Cl 0.750 0.750 0.750
Pr 0.500 0.500 0.500

***

DFT (GGA-PBE) results for a geometry-optimized Pu8SnIr6 structure.

## Properties
The calculation puts the total moment at 17.28 μB/f.u. The uncorrected energy is -173.223 eV/f.u. The value obtained for the mass density is 18.1 g/cm3.

a = 7.176 Å, b = 7.176 Å, c = 7.823 Å
α = 62.70°, β = 62.70°, γ = 60.00°
Atoms (fractional coordinates):
Ir 0.653 0.848 0.121
Pu 0.565 0.172 0.357
Ir 0.347 0.152 0.879
Ir 0.622 0.347 0.879
Pu 0.094 0.435 0.643
Pu 0.748 0.748 0.755
Ir 0.378 0.653 0.121
Ir 0.848 0.378 0.121
Pu 0.252 0.252 0.245
Ir 0.152 0.622 0.879
Sn 0.000 0.000 0.000
Pu 0.435 0.828 0.643
Pu 0.828 0.094 0.643
Pu 0.172 0.906 0.357
Pu 0.906 0.565 0.357

***

DFT (GGA-PBE) results for a geometry-optimized NdSm14In structure.

## Properties
The calculation puts the total moment at 0.00 μB/f.u. The uncorrected energy is -74.073 eV/f.u. The value obtained for the mass density is 7.5 g/cm3.

a = 7.190 Å, b = 7.190 Å, c = 10.182 Å
α = 90.00°, β = 90.00°, γ = 90.01°
Atoms (fractional coordinates):
Sm 0.127 0.873 0.754
Sm 0.375 0.125 0.500
In 0.375 0.625 0.000
Sm 0.127 0.873 0.246
Sm 0.874 0.625 0.000
Sm 0.623 0.377 0.753
Sm 0.623 0.377 0.247
Sm 0.875 0.625 0.500
Sm 0.375 0.625 0.500
Sm 0.127 0.377 0.247
Sm 0.623 0.873 0.753
Sm 0.127 0.377 0.753
Sm 0.875 0.125 0.500
Sm 0.375 0.126 0.000
Sm 0.623 0.873 0.247
Nd 0.875 0.125 0.000

***

DFT (GGA-PBE) results for a geometry-optimized LaSm8Er2 structure.

## Properties
The calculation puts the total moment at 0.00 μB/f.u. The uncorrected energy is -50.556 eV/f.u. The value obtained for the mass density is 7.4 g/cm3. Its excess energy over the best structure of this formula in the dataset is 0.000 eV per atom.

a = 5.633 Å, b = 8.315 Å, c = 9.431 Å
α = 116.15°, β = 107.38°, γ = 90.00°
Atoms (fractional coordinates):
Sm 0.000 0.296 0.000
Er 0.200 0.700 0.399
Sm 0.837 0.837 0.673
Sm 0.640 0.436 0.280
Er 0.800 0.300 0.601
Sm 0.360 0.156 0.720
Sm 0.360 0.564 0.720
Sm 0.000 0.704 0.000
La 0.500 0.000 0.000
Sm 0.640 0.844 0.280
Sm 0.163 0.163 0.327

***

DFT (GGA-PBE) results for a geometry-optimized BaCaCl2 structure.

## Properties
For the uncorrected formation energy, the calculation gives -1.6729 eV/atom. The calculation puts the total moment at 0.00 μB/f.u. The uncorrected energy is -14.309 eV/f.u. The value obtained for the mass density is 2.7 g/cm3. Its excess energy over the best structure of this formula in the dataset is 0.023 eV per atom.

a = 9.119 Å, b = 9.119 Å, c = 9.119 Å
α = 28.40°, β = 28.40°, γ = 28.40°
Atoms (fractional coordinates):
Ba 0.000 0.000 0.000
Cl 0.879 0.879 0.879
Cl 0.121 0.121 0.121
Ca 0.500 0.500 0.500

***

DFT (GGA-PBE) results for a geometry-optimized PmErAgPt structure.

## Properties
The calculation puts the total moment at 0.00 μB/f.u. The uncorrected energy is -21.215 eV/f.u. The value obtained for the mass density is 10.6 g/cm3. Its excess energy over the best structure of this formula in the dataset is 0.000 eV per atom.

a = 3.813 Å, b = 4.654 Å, c = 5.734 Å
α = 90.00°, β = 109.42°, γ = 90.00°
Atoms (fractional coordinates):
Ag 0.582 0.500 0.164
Pt 0.414 0.000 0.827
Pm 0.141 0.000 0.282
Er 0.864 0.500 0.727

***

DFT (GGA-PBE) results for a geometry-optimized Ca5ThPt4 structure.

## Properties
The calculation puts the total moment at 0.00 μB/f.u. The uncorrected energy is -49.793 eV/f.u. The value obtained for the mass density is 7.6 g/cm3.

a = 4.997 Å, b = 7.138 Å, c = 8.731 Å
α = 115.87°, β = 106.63°, γ = 90.00°
Atoms (fractional coordinates):
Ca 0.500 0.500 0.000
Pt 0.341 0.063 0.683
Ca 0.820 0.807 0.641
Pt 0.990 0.767 0.980
Ca 0.180 0.193 0.359
Pt 0.010 0.233 0.020
Ca 0.154 0.691 0.309
Th 0.500 0.000 0.000
Pt 0.659 0.937 0.317
Ca 0.846 0.309 0.691

***

DFT (GGA-PBE) results for a geometry-optimized Cs6KRb23 structure.

## Properties
The calculation puts the total moment at 0.00 μB/f.u. The uncorrected energy is -27.857 eV/f.u. The value obtained for the mass density is 1.6 g/cm3.

a = 16.060 Å, b = 16.060 Å, c = 16.060 Å
α = 60.00°, β = 60.00°, γ = 60.00°
Atoms (fractional coordinates):
Cs 0.286 0.286 0.714
Cs 0.286 0.714 0.714
Rb 0.997 0.334 0.334
Cs 0.714 0.714 0.286
Rb 0.000 0.500 0.500
K 0.500 0.500 0.500
Rb 0.500 0.500 0.000
Cs 0.714 0.286 0.714
Rb 0.881 0.881 0.881
Rb 0.500 0.000 0.000
Rb 0.881 0.357 0.881
Rb 0.000 0.000 0.000
Cs 0.714 0.286 0.286
Rb 0.500 0.000 0.500
Rb 0.003 0.666 0.666
Rb 0.334 0.997 0.334
Rb 0.000 0.500 0.000
Rb 0.666 0.666 0.003
Rb 0.119 0.119 0.643
Rb 0.334 0.334 0.997
Rb 0.119 0.119 0.119
Rb 0.334 0.334 0.334
Rb 0.357 0.881 0.881
Rb 0.666 0.666 0.666
Rb 0.881 0.881 0.357
Rb 0.119 0.643 0.119
Rb 0.643 0.119 0.119
Rb 0.666 0.003 0.666
Cs 0.286 0.714 0.286
Rb 0.000 0.000 0.500

***

DFT (GGA-PBE) results for a geometry-optimized Tl3Cu2AgCl8 structure.

## Properties
For the uncorrected formation energy, the calculation gives -0.6883 eV/atom. The calculation puts the total moment at 0.01 μB/f.u. The uncorrected energy is -42.552 eV/f.u. The value obtained for the mass density is 4.7 g/cm3.

a = 7.112 Å, b = 7.112 Å, c = 9.054 Å
α = 90.00°, β = 90.00°, γ = 120.00°
Atoms (fractional coordinates):
Ag 0.000 0.000 0.500
Cu 0.667 0.333 0.798
Cl 0.333 0.667 0.961
Tl 0.000 0.000 0.000
Cl 0.335 0.167 0.681
Cl 0.167 0.833 0.319
Cl 0.833 0.167 0.681
Cl 0.833 0.665 0.681
Cl 0.665 0.833 0.319
Tl 0.667 0.333 0.374
Cl 0.667 0.333 0.039
Tl 0.333 0.667 0.626
Cu 0.333 0.667 0.202
Cl 0.167 0.335 0.319

***

DFT (GGA-PBE) results for a geometry-optimized Tm7Tl2Rh2 structure.

## Properties
The calculation puts the total moment at 0.00 μB/f.u. The uncorrected energy is -55.025 eV/f.u. The value obtained for the mass density is 9.7 g/cm3.

a = 6.742 Å, b = 7.040 Å, c = 6.742 Å
α = 90.00°, β = 106.68°, γ = 90.00°
Atoms (fractional coordinates):
Rh 0.288 0.000 0.712
Tm 0.000 0.247 0.500
Tl 0.184 0.500 0.184
Rh 0.712 0.000 0.288
Tl 0.816 0.500 0.816
Tm 0.500 0.247 0.000
Tm 0.000 0.753 0.500
Tm 0.500 0.753 0.000
Tm 0.500 0.239 0.500
Tm 0.000 0.000 0.000
Tm 0.500 0.761 0.500

***

DFT (GGA-PBE) results for a geometry-optimized La3Ti structure.

## Properties
The calculation puts the total moment at 1.14 μB/f.u. The uncorrected energy is -21.720 eV/f.u. The value obtained for the mass density is 6.2 g/cm3.

a = 7.179 Å, b = 7.179 Å, c = 5.608 Å
α = 90.00°, β = 90.00°, γ = 120.00°
Atoms (fractional coordinates):
La 0.176 0.824 0.250
Ti 0.333 0.667 0.750
La 0.648 0.824 0.250
Ti 0.667 0.333 0.250
La 0.176 0.352 0.250
La 0.824 0.176 0.750
La 0.352 0.176 0.750
La 0.824 0.648 0.750

***

DFT (GGA-PBE) results for a geometry-optimized Mg4WCl structure.

## Properties
For the uncorrected formation energy, the calculation gives 0.6962 eV/atom. The calculation puts the total moment at 1.01 μB/f.u. The uncorrected energy is -17.001 eV/f.u. The value obtained for the mass density is 4.2 g/cm3.

a = 5.604 Å, b = 5.604 Å, c = 5.604 Å
α = 60.00°, β = 60.00°, γ = 60.00°
Atoms (fractional coordinates):
Mg 0.377 0.377 0.869
Mg 0.377 0.869 0.377
Cl 0.000 0.000 0.000
Mg 0.869 0.377 0.377
Mg 0.377 0.377 0.377
W 0.750 0.750 0.750

***

DFT (GGA-PBE) results for a geometry-optimized TiCo2Mo2 structure.

## Properties
The calculation puts the total moment at 0.00 μB/f.u. The uncorrected energy is -43.502 eV/f.u. The value obtained for the mass density is 8.5 g/cm3. Its excess energy over the best structure of this formula in the dataset is 0.000 eV per atom.

a = 6.992 Å, b = 6.992 Å, c = 2.852 Å
α = 90.00°, β = 90.00°, γ = 90.00°
Atoms (fractional coordinates):
Ti 0.500 0.500 0.000
Co 0.623 0.123 0.000
Ti 0.000 0.000 0.000
Mo 0.677 0.823 0.500
Mo 0.823 0.323 0.500
Co 0.877 0.623 0.000
Mo 0.323 0.177 0.500
Co 0.377 0.877 0.000
Mo 0.177 0.677 0.500
Co 0.123 0.377 0.000

***

DFT (GGA-PBE) results for a geometry-optimized PrCdBiPb structure.

## Properties
The calculation puts the total moment at 0.00 μB/f.u. The uncorrected energy is -14.274 eV/f.u. The value obtained for the mass density is 9.1 g/cm3. Its excess energy over the best structure of this formula in the dataset is 0.186 eV per atom.

a = 5.562 Å, b = 5.562 Å, c = 5.562 Å
α = 60.00°, β = 60.00°, γ = 60.00°
Atoms (fractional coordinates):
Pr 0.750 0.750 0.750
Pb 0.250 0.250 0.250
Bi 0.500 0.500 0.500
Cd 0.000 0.000 0.000